## BeCuCl2 (GGA-PBE)

Data for an optimized crystal structure of BeCuCl2.

Cell: 4.5923 4.5923 4.5923 Å, 60.00 60.00 60.00°
Sites, in units of the cell vectors:
Be (0.0000, 0.0000, 0.0000)
Cu (0.7500, 0.7500, 0.7500)
Cl (0.2500, 0.2500, 0.2500)
Cl (0.5000, 0.5000, 0.5000)

Crystal system: cubic
Formation energy from raw total energies: 0.680 eV per atom

## LaTc2As2 (GGA-PBE)

Data for an optimized crystal structure of LaTc2As2.

Cell: 6.0049 6.0049 6.0049 Å, 137.63 137.63 61.47°
Sites, in units of the cell vectors:
La (0.0000, 0.0000, 0.0000)
Tc (0.2500, 0.7500, 0.5000)
Tc (0.7500, 0.2500, 0.5000)
As (0.3628, 0.3628, 0.0000)
As (0.6372, 0.6372, 0.0000)

E_form: -0.64 eV per atom
Crystal system: tetragonal

| no. | DOS at the Fermi energy (states/eV per atom) | energy relative to the lowest polymorph listed for this composition (kJ/mol of atoms) | total magnetization (Bohr magnetons per cell) |
| --- | --- | --- | --- |
| 1 | 0.655 | 110.1 | 0.17 |
| 2 | 0.694 | 0.0 | 0.00 |